Computed, not measured: a relaxed structure of UCoBi at the PBE level of DFT.

```
data_UCoBi
_cell_length_a 6.6612
_cell_length_b 7.8313
_cell_length_c 5.7450
_cell_angle_alpha 90.00
_cell_angle_beta 114.00
_cell_angle_gamma 90.00
_space_group_name_H-M_alt 'C 1 2/m 1'
_space_group_IT_number 12
_space_group_name_Hall '-C 2y'
loop_
_atom_site_label
_atom_site_fract_x
_atom_site_fract_y
_atom_site_fract_z
U1 0.0000 0.2155 0.0000
Co1 0.1912 0.5000 0.9320
Bi1 0.2363 0.5000 0.4511
```

Calculated values
* formation energy from the elements: 0.133 eV per atom